Model P:
A plane-wave DFT calculation with PBE was carried out for an optimized crystal structure of AlFe2Sn.

```
data_AlFe2Sn
_cell_length_a 3.9221
_cell_length_b 3.9221
_cell_length_c 17.6368
_cell_angle_alpha 90.00
_cell_angle_beta 90.00
_cell_angle_gamma 90.00
_symmetry_space_group_name_H-M 'I -4 2 d'
_symmetry_Int_Tables_number 122
_symmetry_space_group_name_Hall 'I -4 2bw'
loop_
_atom_site_label
_atom_site_type_symbol
_atom_site_fract_x
_atom_site_fract_y
_atom_site_fract_z
Al1 Al 0.0000 0.0000 0.0000
Fe1 Fe 0.1887 0.2500 0.1250
Sn1 Sn 0.0000 0.0000 0.5000
```

Total magnetic moment in μB/atom: 1.053
DOS(E_F) in states/eV/f.u.: 4.3
ρ in g/cm³: 6.30



Model Q:
A plane-wave DFT calculation with PBE was carried out for an optimized crystal structure of AlFe2Sn.

```
data_AlFe2Sn
_cell_length_a 4.2123
_cell_length_b 4.2123
_cell_length_c 3.0400
_cell_angle_alpha 90.00
_cell_angle_beta 90.00
_cell_angle_gamma 90.00
_symmetry_space_group_name_H-M 'P 4/m m m'
_symmetry_Int_Tables_number 123
_symmetry_space_group_name_Hall '-P 4 2'
loop_
_atom_site_label
_atom_site_type_symbol
_atom_site_fract_x
_atom_site_fract_y
_atom_site_fract_z
Al1 Al 0.0000 0.0000 0.0000
Fe1 Fe 0.0000 0.5000 0.5000
Sn1 Sn 0.5000 0.5000 0.0000
```

Total magnetic moment in μB/atom: 0.116
DOS(E_F) in states/eV/f.u.: 4.5
ρ in g/cm³: 7.92



Going by the computed energies, the most stable comes first: model Q, model P.



Model P:
A plane-wave DFT calculation with PBE was carried out for an optimized crystal structure of AlFeSn3.

```
data_AlFeSn3
_cell_length_a 4.9397
_cell_length_b 4.9397
_cell_length_c 4.9397
_cell_angle_alpha 90.00
_cell_angle_beta 90.00
_cell_angle_gamma 90.00
_symmetry_space_group_name_H-M 'P m -3 m'
_symmetry_Int_Tables_number 221
_symmetry_space_group_name_Hall '-P 4 2 3'
loop_
_atom_site_label
_atom_site_type_symbol
_atom_site_fract_x
_atom_site_fract_y
_atom_site_fract_z
Al1 Al 0.0000 0.0000 0.0000
Fe1 Fe 0.5000 0.5000 0.5000
Sn1 Sn 0.0000 0.5000 0.5000
```

Total magnetic moment in μB/atom: 0.000
DOS(E_F) in states/eV/f.u.: 3.2
ρ in g/cm³: 6.05



Model Q:
A plane-wave DFT calculation with PBE was carried out for an optimized crystal structure of AlFeSn3.

```
data_AlFeSn3
_cell_length_a 5.2059
_cell_length_b 5.2059
_cell_length_c 5.2059
_cell_angle_alpha 90.00
_cell_angle_beta 90.00
_cell_angle_gamma 90.00
_symmetry_space_group_name_H-M 'P m -3 m'
_symmetry_Int_Tables_number 221
_symmetry_space_group_name_Hall '-P 4 2 3'
loop_
_atom_site_label
_atom_site_type_symbol
_atom_site_fract_x
_atom_site_fract_y
_atom_site_fract_z
Al1 Al 0.0000 0.0000 0.0000
Fe1 Fe 0.5000 0.5000 0.5000
Sn1 Sn 0.0000 0.0000 0.5000
```

Total magnetic moment in μB/atom: 0.035
DOS(E_F) in states/eV/f.u.: 12.5
ρ in g/cm³: 5.17



Going by the computed energies, the most stable comes first: model P, model Q.



Model P:
A plane-wave DFT calculation with PBE was carried out for an optimized crystal structure of TaAlFe3.

```
data_TaAlFe3
_cell_length_a 4.1383
_cell_length_b 4.1383
_cell_length_c 4.1383
_cell_angle_alpha 90.00
_cell_angle_beta 90.00
_cell_angle_gamma 90.00
_symmetry_space_group_name_H-M 'P m -3 m'
_symmetry_Int_Tables_number 221
_symmetry_space_group_name_Hall '-P 4 2 3'
loop_
_atom_site_label
_atom_site_type_symbol
_atom_site_fract_x
_atom_site_fract_y
_atom_site_fract_z
Ta1 Ta 0.0000 0.0000 0.0000
Al1 Al 0.5000 0.5000 0.5000
Fe1 Fe 0.0000 0.5000 0.5000
```

Total magnetic moment in μB/atom: 0.401
DOS(E_F) in states/eV/f.u.: 3.2
ρ in g/cm³: 8.80



Model Q:
A plane-wave DFT calculation with PBE was carried out for an optimized crystal structure of TaAlFe3.

```
data_TaAlFe3
_cell_length_a 4.5090
_cell_length_b 4.5090
_cell_length_c 4.5090
_cell_angle_alpha 90.00
_cell_angle_beta 90.00
_cell_angle_gamma 90.00
_symmetry_space_group_name_H-M 'P m -3 m'
_symmetry_Int_Tables_number 221
_symmetry_space_group_name_Hall '-P 4 2 3'
loop_
_atom_site_label
_atom_site_type_symbol
_atom_site_fract_x
_atom_site_fract_y
_atom_site_fract_z
Ta1 Ta 0.0000 0.0000 0.0000
Al1 Al 0.5000 0.5000 0.5000
Fe1 Fe 0.0000 0.0000 0.5000
```

Total magnetic moment in μB/atom: 0.922
DOS(E_F) in states/eV/f.u.: 4.5
ρ in g/cm³: 6.80



Going by the computed energies, the most stable comes first: model P, model Q.



Model P:
A plane-wave DFT calculation with PBE was carried out for an optimized crystal structure of TbAl3Fe.

```
data_TbAl3Fe
_cell_length_a 7.0558
_cell_length_b 11.1401
_cell_length_c 4.9640
_cell_angle_alpha 90.00
_cell_angle_beta 90.00
_cell_angle_gamma 90.00
_symmetry_space_group_name_H-M 'C m c m'
_symmetry_Int_Tables_number 63
_symmetry_space_group_name_Hall '-C 2c 2'
loop_
_atom_site_label
_atom_site_type_symbol
_atom_site_fract_x
_atom_site_fract_y
_atom_site_fract_z
Tb1 Tb 0.0000 0.0907 0.2500
Al1 Al 0.0000 0.5000 0.0000
Al2 Al 0.1724 0.2319 0.7500
Fe1 Fe 0.0000 0.3197 0.2500
```

Total magnetic moment in μB/atom: 0.000
DOS(E_F) in states/eV/f.u.: 2.8
ρ in g/cm³: 5.03



Model Q:
A plane-wave DFT calculation with PBE was carried out for an optimized crystal structure of TbAl3Fe.

```
data_TbAl3Fe
_cell_length_a 4.5062
_cell_length_b 4.5062
_cell_length_c 4.5062
_cell_angle_alpha 90.00
_cell_angle_beta 90.00
_cell_angle_gamma 90.00
_symmetry_space_group_name_H-M 'P m -3 m'
_symmetry_Int_Tables_number 221
_symmetry_space_group_name_Hall '-P 4 2 3'
loop_
_atom_site_label
_atom_site_type_symbol
_atom_site_fract_x
_atom_site_fract_y
_atom_site_fract_z
Tb1 Tb 0.0000 0.0000 0.0000
Al1 Al 0.0000 0.5000 0.5000
Fe1 Fe 0.5000 0.5000 0.5000
```

Total magnetic moment in μB/atom: 0.000
DOS(E_F) in states/eV/f.u.: 1.2
ρ in g/cm³: 5.37



Going by the computed energies, the most stable comes first: model Q, model P.



Model P:
A plane-wave DFT calculation with PBE was carried out for an optimized crystal structure of AlFeTc.

```
data_AlFeTc
_cell_length_a 2.6450
_cell_length_b 4.7266
_cell_length_c 13.9500
_cell_angle_alpha 90.00
_cell_angle_beta 90.00
_cell_angle_gamma 90.00
_symmetry_space_group_name_H-M 'I m m m'
_symmetry_Int_Tables_number 71
_symmetry_space_group_name_Hall '-I 2 2'
loop_
_atom_site_label
_atom_site_type_symbol
_atom_site_fract_x
_atom_site_fract_y
_atom_site_fract_z
Al1 Al 0.0000 0.0000 0.1514
Fe1 Fe 0.0000 0.0000 0.3272
Tc1 Tc 0.0000 0.2451 0.5000
```

Total magnetic moment in μB/atom: 0.710
DOS(E_F) in states/eV/f.u.: 2.7
ρ in g/cm³: 6.89



Model Q:
A plane-wave DFT calculation with PBE was carried out for an optimized crystal structure of AlFeTc.

```
data_AlFeTc
_cell_length_a 4.0881
_cell_length_b 4.0881
_cell_length_c 2.6867
_cell_angle_alpha 90.00
_cell_angle_beta 90.00
_cell_angle_gamma 120.00
_symmetry_space_group_name_H-M 'P 3 m 1'
_symmetry_Int_Tables_number 156
loop_
_symmetry_equiv_pos_as_xyz
'x,y,z'
'-y,x-y,z'
'-x+y,-x,z'
'-y,-x,z'
'-x+y,y,z'
'x,x-y,z'
loop_
_atom_site_label
_atom_site_type_symbol
_atom_site_fract_x
_atom_site_fract_y
_atom_site_fract_z
Al1 Al 0.0000 0.0000 0.0000
Fe1 Fe 0.3333 0.6667 0.2251
Tc1 Tc 0.6667 0.3333 0.5798
```

Total magnetic moment in μB/atom: 0.001
DOS(E_F) in states/eV/f.u.: 2.8
ρ in g/cm³: 7.72



Model R:
A plane-wave DFT calculation with PBE was carried out for an optimized crystal structure of AlFeTc.

```
data_AlFeTc
_cell_length_a 2.8250
_cell_length_b 2.8250
_cell_length_c 9.6038
_cell_angle_alpha 90.00
_cell_angle_beta 90.00
_cell_angle_gamma 90.00
_symmetry_space_group_name_H-M 'I 4 m m'
_symmetry_Int_Tables_number 107
_symmetry_space_group_name_Hall 'I 4 -2'
loop_
_atom_site_label
_atom_site_type_symbol
_atom_site_fract_x
_atom_site_fract_y
_atom_site_fract_z
Al1 Al 0.0000 0.0000 0.0000
Fe1 Fe 0.0000 0.0000 0.6555
Tc1 Tc 0.0000 0.0000 0.3156
```

Total magnetic moment in μB/atom: 0.084
DOS(E_F) in states/eV/f.u.: 2.3
ρ in g/cm³: 7.84



Going by the computed energies, the most stable comes first: model R, model Q, model P.



Model P:
A plane-wave DFT calculation with PBE was carried out for an optimized crystal structure of Al2Fe2Tc.

```
data_Al2Fe2Tc
_cell_length_a 7.1864
_cell_length_b 7.1864
_cell_length_c 2.5675
_cell_angle_alpha 90.00
_cell_angle_beta 90.00
_cell_angle_gamma 90.00
_symmetry_space_group_name_H-M 'P 4/m b m'
_symmetry_Int_Tables_number 127
_symmetry_space_group_name_Hall '-P 4 2ab'
loop_
_atom_site_label
_atom_site_type_symbol
_atom_site_fract_x
_atom_site_fract_y
_atom_site_fract_z
Al1 Al 0.1818 0.3182 0.0000
Fe1 Fe 0.1146 0.6146 0.5000
Tc1 Tc 0.0000 0.0000 0.5000
```

Total magnetic moment in μB/atom: 0.779
DOS(E_F) in states/eV/f.u.: 3.2
ρ in g/cm³: 6.60



Model Q:
A plane-wave DFT calculation with PBE was carried out for an optimized crystal structure of Al2Fe2Tc.

```
data_Al2Fe2Tc
_cell_length_a 6.8722
_cell_length_b 6.8722
_cell_length_c 2.7448
_cell_angle_alpha 90.00
_cell_angle_beta 90.00
_cell_angle_gamma 90.00
_symmetry_space_group_name_H-M 'P 4/m b m'
_symmetry_Int_Tables_number 127
_symmetry_space_group_name_Hall '-P 4 2ab'
loop_
_atom_site_label
_atom_site_type_symbol
_atom_site_fract_x
_atom_site_fract_y
_atom_site_fract_z
Al1 Al 0.1376 0.3624 0.0000
Fe1 Fe 0.1592 0.6592 0.5000
Tc1 Tc 0.0000 0.0000 0.0000
```

Total magnetic moment in μB/atom: 0.687
DOS(E_F) in states/eV/f.u.: 7.0
ρ in g/cm³: 6.75



Going by the computed energies, the most stable comes first: model Q, model P.